Material: SrPrTlPb
Method: DFT, PBE
State: relaxed

```
SrPrTlPb
1.0
-1.680 4.659 2.817
-1.107 -0.290 5.582
3.509 2.492 3.733
Pr Tl Sr Pb
1 1 1 1
direct
0.750 0.750 0.750
0.000 0.000 0.000
0.250 0.250 0.250
0.500 0.500 0.500
```

## Properties
space group: F-43m, No. 216
energy above the most stable polymorph in this dataset: 33 meV per atom
raw total energy: -14.2 eV/cell
magnetic moment: 0.000 μB per atom

Material: TbPr2Pb3
Method: DFT, PBE
State: relaxed

```
TbPr2Pb3
1.0
5.055 0.000 0.023
2.527 7.709 0.011
-0.038 0.000 9.213
Tb Pb Pr
2 6 4
direct
0.668 0.664 0.000
0.332 0.336 0.000
0.832 0.337 0.245
0.168 0.663 0.755
0.500 0.000 0.755
0.500 0.000 0.245
0.832 0.337 0.755
0.168 0.663 0.245
0.667 0.667 0.500
0.333 0.333 0.500
0.000 0.000 0.500
0.000 0.000 0.000
```

## Properties
space group: Cmmm, No. 65
energy above the most stable polymorph in this dataset: 0 meV per atom
raw total energy: -56.6 eV/cell
magnetic moment: 0.004 μB per atom

Material: Tb2PrPb
Method: DFT, PBE
State: relaxed

```
Tb2PrPb
1.0
3.579 0.000 0.000
1.790 3.100 0.000
1.790 1.033 12.183
Tb Pr Pb
2 1 1
direct
0.913 0.913 0.261
0.087 0.087 0.739
0.500 0.500 0.500
0.000 0.000 0.000
```

## Properties
space group: R-3m, No. 166
energy above the most stable polymorph in this dataset: 354 meV per atom
raw total energy: -17.6 eV/cell
magnetic moment: 0.000 μB per atom

Material: TbPr2Pb
Method: DFT, PBE
State: relaxed

```
TbPr2Pb
1.0
5.635 0.000 0.000
2.817 4.880 0.000
2.817 1.627 4.601
Tb Pr Pb
1 2 1
direct
0.000 0.000 0.000
0.250 0.250 0.250
0.750 0.750 0.750
0.500 0.500 0.500
```

## Properties
space group: Fm-3m, No. 225
energy above the most stable polymorph in this dataset: 171 meV per atom
raw total energy: -18.5 eV/cell
magnetic moment: 0.001 μB per atom